No. 1
HfCu3H: optimized geometry, PBE.

Magnetization in μB per cell: 0.00
Density of states at the Fermi level in states/eV per cell: 4.3
Energy above the most stable polymorph in this dataset in meV per atom: 0.0
SG: Pm-3m (221)
Final energy in eV per cell: -24.44

a b c (Å): 3.944 3.944 3.944
angles (deg): 90.00 90.00 90.00
Fractional positions:
Hf: 0.000 0.000 0.000
Cu: 0.000 0.500 0.500
Cu: 0.500 0.000 0.500
Cu: 0.500 0.500 0.000
H: 0.500 0.500 0.500


No. 2
Li2AgNCl: optimized geometry, PBE.

Magnetization in μB per cell: 1.01
Formation energy from raw total energies in eV per atom: 0.45
Density of states at the Fermi level in states/eV per cell: 2.3
SG: P4/mmm (123)
Final energy in eV per cell: -14.58

a b c (Å): 4.338 4.338 5.006
angles (deg): 90.00 90.00 90.00
Fractional positions:
Li: 0.000 0.500 0.000
Li: 0.500 0.000 0.000
Ag: 0.000 0.000 0.500
N: 0.500 0.500 0.500
Cl: 0.000 0.000 0.000


No. 3
La5Pm2Th2: optimized geometry, PBE.

Magnetization in μB per cell: 0.00
DFT formation energy in eV/atom: 0.045
Density of states at the Fermi level in states/eV per cell: 16.7
SG: P-1 (2)
Final energy in eV per cell: -48.58

a b c (Å): 6.352 6.368 8.194
angles (deg): 82.99 74.89 80.21
Fractional positions:
La: 0.000 0.000 0.000
La: 0.117 0.225 0.549
La: 0.452 0.883 0.236
La: 0.548 0.117 0.764
La: 0.883 0.775 0.451
Pm: 0.221 0.445 0.110
Pm: 0.779 0.555 0.890
Th: 0.337 0.660 0.665
Th: 0.663 0.340 0.335